BaCa2P | PBE | optimized geometry

Calculated values
D(E_F): 5.2 states/eV per cell
energy relative to the elements: -1.873 eV/f.u.

a b c (Å): 3.7491 3.7491 9.9555
angles (deg): 90.00 90.00 90.09
With the nearest neighbours (Å) after each atom.
Fractional coordinates of all 4 atoms:
1 Ca 0.0000 0.0000 0.3994  1 Ca 2.98, 4 P 3.04
2 Ca 0.0000 0.0000 0.1006  1 Ca 2.98, 4 P 3.04
3 P 0.5000 0.5000 0.2500  8 Ca 3.04
4 Ba 0.5000 0.5000 0.7500  4 Ba 3.75